A:
Below is HoErZn after structural relaxation, with properties calculated at the PBE level.

- Space-group type: Pnma (62)
- Calculated volume: 24.9 Å³/atom
- ρ: 8.82 Mg/m³

Cell and atoms, written as POSCAR:
```
HoErZn
1.0
6.706 0.000 0.000
0.000 4.970 0.000
0.000 0.000 8.983
Ho Er Zn
4 4 4
Direct
0.168 0.250 0.075
0.332 0.750 0.575
0.668 0.250 0.425
0.832 0.750 0.925
0.017 0.250 0.694
0.483 0.750 0.194
0.517 0.250 0.806
0.983 0.750 0.306
0.227 0.250 0.399
0.273 0.750 0.899
0.727 0.250 0.101
0.773 0.750 0.601
```

***

B:
Below is HoErZn after structural relaxation, with properties calculated at the PBE level.

- Space-group type: F-43m (216)
- Calculated volume: 27.5 Å³/atom
- ρ: 8.01 Mg/m³

Cell and atoms, written as POSCAR:
```
HoErZn
1.0
0.000 3.454 3.454
3.454 0.000 3.454
3.454 3.454 0.000
Ho Er Zn
1 1 1
Direct
0.000 0.000 0.000
0.500 0.500 0.500
0.750 0.750 0.750
```

***

It comes down to A, which is 0.256 eV/atom more stable than the next structure.

***

A:
Below is ErInNO after structural relaxation, with properties calculated at the PBE level.

- Space-group type: P4/nmm (129)
- Calculated volume: 15.7 Å³/atom
- ρ: 8.25 Mg/m³

Cell and atoms, written as POSCAR:
```
ErInNO
1.0
4.011 0.000 0.000
0.000 4.011 0.000
0.000 0.000 7.809
Er In N O
2 2 2 2
Direct
0.250 0.250 0.125
0.750 0.750 0.875
0.250 0.750 0.500
0.750 0.250 0.500
0.250 0.250 0.660
0.750 0.750 0.340
0.250 0.750 0.000
0.750 0.250 0.000
```

***

B:
Below is ErInNO after structural relaxation, with properties calculated at the PBE level.

- Space-group type: Pmc2_1 (26)
- Calculated volume: 17.6 Å³/atom
- ρ: 7.35 Mg/m³

Cell and atoms, written as POSCAR:
```
ErInNO
1.0
3.765 0.000 0.000
0.000 6.346 0.000
0.000 0.000 5.901
Er In N O
2 2 2 2
Direct
0.000 0.177 0.000
0.000 0.823 0.500
0.500 0.329 0.513
0.500 0.671 0.013
0.500 0.342 0.898
0.500 0.658 0.398
0.000 0.143 0.367
0.000 0.857 0.867
```

***

It comes down to B, which is 0.171 eV/atom more stable than the next structure.

***

A:
Below is ErNbIn after structural relaxation, with properties calculated at the PBE level.

- Space-group type: F-43m (216)
- Calculated volume: 27.6 Å³/atom
- ρ: 7.53 Mg/m³

Cell and atoms, written as POSCAR:
```
ErNbIn
1.0
0.000 3.457 3.457
3.457 0.000 3.457
3.457 3.457 0.000
Er Nb In
1 1 1
Direct
0.000 0.000 0.000
0.250 0.250 0.250
0.500 0.500 0.500
```

***

B:
Below is ErNbIn after structural relaxation, with properties calculated at the PBE level.

- Space-group type: F-43m (216)
- Calculated volume: 28.4 Å³/atom
- ρ: 7.31 Mg/m³

Cell and atoms, written as POSCAR:
```
ErNbIn
1.0
0.000 3.492 3.492
3.492 0.000 3.492
3.492 3.492 0.000
Er Nb In
1 1 1
Direct
0.000 0.000 0.000
0.250 0.250 0.250
0.750 0.750 0.750
```

***

It comes down to A, which is 0.266 eV/atom more stable than the next structure.

***

A:
Below is YErIn2Ni4 after structural relaxation, with properties calculated at the PBE level.

- Space-group type: Pmm2 (25)
- Calculated volume: 17.8 Å³/atom
- ρ: 8.42 Mg/m³

Cell and atoms, written as POSCAR:
```
YErIn2Ni4
1.0
3.999 0.000 0.000
0.000 5.078 0.000
0.000 0.000 7.001
Y Er In Ni
1 1 2 4
Direct
0.000 0.000 0.000
0.000 0.500 0.467
0.500 0.000 0.375
0.500 0.500 0.088
0.000 0.000 0.617
0.000 0.500 0.843
0.500 0.251 0.729
0.500 0.749 0.729
```

***

B:
Below is YErIn2Ni4 after structural relaxation, with properties calculated at the PBE level.

- Space-group type: P-6m2 (187)
- Calculated volume: 17.7 Å³/atom
- ρ: 8.46 Mg/m³

Cell and atoms, written as POSCAR:
```
YErIn2Ni4
1.0
4.399 0.000 0.000
-2.199 3.809 0.000
0.000 0.000 8.438
Y Er In Ni
1 1 2 4
Direct
0.000 0.000 0.000
0.667 0.333 0.500
0.333 0.667 0.252
0.333 0.667 0.748
0.000 0.000 0.340
0.000 0.000 0.660
0.667 0.333 0.168
0.667 0.333 0.832
```

***

It comes down to A, which is 0.049 eV/atom more stable than the next structure.

***

A:
Below is ErInPO after structural relaxation, with properties calculated at the PBE level.

- Space-group type: P4/nmm (129)
- Calculated volume: 19.5 Å³/atom
- ρ: 7.01 Mg/m³

Cell and atoms, written as POSCAR:
```
ErInPO
1.0
4.416 0.000 0.000
0.000 4.416 0.000
0.000 0.000 7.998
Er In P O
2 2 2 2
Direct
0.250 0.750 0.000
0.750 0.250 0.000
0.250 0.250 0.402
0.750 0.750 0.598
0.250 0.250 0.810
0.750 0.750 0.190
0.250 0.750 0.500
0.750 0.250 0.500
```

***

B:
Below is ErInPO after structural relaxation, with properties calculated at the PBE level.

- Space-group type: Pmc2_1 (26)
- Calculated volume: 21.7 Å³/atom
- ρ: 6.29 Mg/m³

Cell and atoms, written as POSCAR:
```
ErInPO
1.0
4.018 0.000 0.000
0.000 7.622 0.000
0.000 0.000 5.671
Er In P O
2 2 2 2
Direct
0.000 0.184 0.000
0.000 0.816 0.500
0.500 0.381 0.564
0.500 0.619 0.064
0.000 0.176 0.493
0.000 0.824 0.993
0.500 0.296 0.973
0.500 0.704 0.473
```

***

It comes down to B, which is 0.609 eV/atom more stable than the next structure.

***

A:
Below is ErZnInS3 after structural relaxation, with properties calculated at the PBE level.

- Space-group type: Cmcm (63)
- Calculated volume: 24.0 Å³/atom
- ρ: 5.11 Mg/m³

Cell and atoms, written as POSCAR:
```
ErZnInS3
1.0
1.962 -7.031 0.000
1.962 7.031 0.000
0.000 0.000 10.447
Er Zn In S
2 2 2 6
Direct
0.000 0.000 0.000
0.000 0.000 0.500
0.459 0.541 0.750
0.541 0.459 0.250
0.254 0.746 0.250
0.746 0.254 0.750
0.061 0.939 0.750
0.374 0.626 0.561
0.374 0.626 0.939
0.626 0.374 0.061
0.626 0.374 0.439
0.939 0.061 0.250
```

***

B:
Below is ErZnInS3 after structural relaxation, with properties calculated at the PBE level.

- Space-group type: Pnma (62)
- Calculated volume: 22.5 Å³/atom
- ρ: 5.45 Mg/m³

Cell and atoms, written as POSCAR:
```
ErZnInS3
1.0
11.317 0.000 0.000
0.000 4.024 0.000
0.000 0.000 11.871
Er Zn In S
4 4 4 12
Direct
0.025 0.250 0.167
0.475 0.750 0.667
0.525 0.250 0.333
0.975 0.750 0.833
0.247 0.750 0.305
0.253 0.250 0.805
0.747 0.750 0.195
0.753 0.250 0.695
0.158 0.250 0.516
0.342 0.750 0.016
0.658 0.250 0.984
0.842 0.750 0.484
0.042 0.750 0.323
0.101 0.250 0.939
0.228 0.750 0.697
0.272 0.250 0.197
0.399 0.750 0.439
0.458 0.250 0.823
0.542 0.750 0.177
0.601 0.250 0.561
0.728 0.750 0.803
0.772 0.250 0.303
0.899 0.750 0.061
0.958 0.250 0.677
```

***

It comes down to A, which is 0.050 eV/atom more stable than the next structure.

***

A:
Below is ErZnInTe3 after structural relaxation, with properties calculated at the PBE level.

- Space-group type: P2_1/m (11)
- Calculated volume: 33.0 Å³/atom
- ρ: 6.13 Mg/m³

Cell and atoms, written as POSCAR:
```
ErZnInTe3
1.0
8.702 0.000 0.000
0.000 4.329 0.000
-3.531 0.000 10.498
Er Zn In Te
2 2 2 6
Direct
0.191 0.250 0.144
0.809 0.750 0.856
0.421 0.750 0.389
0.579 0.250 0.611
0.233 0.750 0.709
0.767 0.250 0.291
0.059 0.250 0.855
0.264 0.250 0.444
0.444 0.750 0.156
0.556 0.250 0.844
0.736 0.750 0.556
0.941 0.750 0.145
```

***

B:
Below is ErZnInTe3 after structural relaxation, with properties calculated at the PBE level.

- Space-group type: Pnma (62)
- Calculated volume: 32.6 Å³/atom
- ρ: 6.20 Mg/m³

Cell and atoms, written as POSCAR:
```
ErZnInTe3
1.0
15.511 0.000 0.000
0.000 4.334 0.000
0.000 0.000 11.638
Er Zn In Te
4 4 4 12
Direct
0.024 0.250 0.159
0.476 0.750 0.659
0.524 0.250 0.341
0.976 0.750 0.841
0.018 0.750 0.399
0.482 0.250 0.899
0.518 0.750 0.101
0.982 0.250 0.601
0.239 0.250 0.460
0.261 0.750 0.960
0.739 0.250 0.040
0.761 0.750 0.540
0.089 0.750 0.616
0.103 0.250 0.921
0.147 0.750 0.248
0.353 0.250 0.748
0.397 0.750 0.421
0.411 0.250 0.116
0.589 0.750 0.884
0.603 0.250 0.579
0.647 0.750 0.252
0.853 0.250 0.752
0.897 0.750 0.079
0.911 0.250 0.384
```

***

It comes down to B, which is 0.007 eV/atom more stable than the next structure.

***

A:
Below is ErZnInTe3 after structural relaxation, with properties calculated at the PBE level.

- Space-group type: C2/m (12)
- Calculated volume: 31.2 Å³/atom
- ρ: 6.47 Mg/m³

Cell and atoms, written as POSCAR:
```
ErZnInTe3
1.0
9.661 -2.157 0.000
9.661 2.157 0.000
-2.033 0.000 8.996
Er Zn In Te
2 2 2 6
Direct
0.172 0.172 0.081
0.828 0.828 0.919
0.465 0.465 0.779
0.535 0.535 0.221
0.132 0.132 0.571
0.868 0.868 0.429
0.000 0.000 0.000
0.323 0.323 0.684
0.332 0.332 0.149
0.500 0.500 0.500
0.668 0.668 0.851
0.677 0.677 0.316
```

***

B:
Below is ErZnInTe3 after structural relaxation, with properties calculated at the PBE level.

- Space-group type: Cmcm (63)
- Calculated volume: 31.4 Å³/atom
- ρ: 6.43 Mg/m³

Cell and atoms, written as POSCAR:
```
ErZnInTe3
1.0
2.158 -7.635 0.000
2.158 7.635 0.000
0.000 0.000 11.447
Er Zn In Te
2 2 2 6
Direct
0.000 0.000 0.000
0.000 0.000 0.500
0.464 0.536 0.750
0.536 0.464 0.250
0.244 0.756 0.250
0.756 0.244 0.750
0.075 0.925 0.750
0.364 0.636 0.559
0.364 0.636 0.941
0.636 0.364 0.059
0.636 0.364 0.441
0.925 0.075 0.250
```

***

It comes down to B, which is 0.118 eV/atom more stable than the next structure.

***

A:
Below is ErZnInTe3 after structural relaxation, with properties calculated at the PBE level.

- Space-group type: Pnma (62)
- Calculated volume: 30.4 Å³/atom
- ρ: 6.66 Mg/m³

Cell and atoms, written as POSCAR:
```
ErZnInTe3
1.0
12.450 0.000 0.000
0.000 4.472 0.000
0.000 0.000 13.084
Er Zn In Te
4 4 4 12
Direct
0.024 0.250 0.186
0.476 0.750 0.686
0.524 0.250 0.314
0.976 0.750 0.814
0.242 0.750 0.301
0.258 0.250 0.801
0.742 0.750 0.199
0.758 0.250 0.699
0.185 0.250 0.492
0.315 0.750 0.992
0.685 0.250 0.008
0.815 0.750 0.508
0.035 0.750 0.352
0.095 0.250 0.935
0.226 0.750 0.687
0.274 0.250 0.187
0.405 0.750 0.435
0.465 0.250 0.852
0.535 0.750 0.148
0.595 0.250 0.565
0.726 0.750 0.813
0.774 0.250 0.313
0.905 0.750 0.065
0.965 0.250 0.648
```

***

B:
Below is ErZnInTe3 after structural relaxation, with properties calculated at the PBE level.

- Space-group type: Pnma (62)
- Calculated volume: 31.6 Å³/atom
- ρ: 6.39 Mg/m³

Cell and atoms, written as POSCAR:
```
ErZnInTe3
1.0
11.484 0.000 0.000
0.000 4.318 0.000
0.000 0.000 15.300
Er Zn In Te
4 4 4 12
Direct
0.019 0.250 0.244
0.481 0.750 0.744
0.519 0.250 0.256
0.981 0.750 0.756
0.237 0.250 0.717
0.263 0.750 0.217
0.737 0.250 0.783
0.763 0.750 0.283
0.219 0.750 0.507
0.281 0.250 0.007
0.719 0.750 0.993
0.781 0.250 0.493
0.042 0.250 0.621
0.081 0.750 0.110
0.235 0.750 0.827
0.265 0.250 0.327
0.419 0.250 0.610
0.458 0.750 0.121
0.542 0.250 0.879
0.581 0.750 0.390
0.735 0.750 0.673
0.765 0.250 0.173
0.919 0.250 0.890
0.958 0.750 0.379
```

***

C:
Below is ErZnInTe3 after structural relaxation, with properties calculated at the PBE level.

- Space-group type: Pnma (62)
- Calculated volume: 30.2 Å³/atom
- ρ: 6.70 Mg/m³

Cell and atoms, written as POSCAR:
```
ErZnInTe3
1.0
8.996 0.000 0.000
0.000 4.593 0.000
0.000 0.000 17.515
Er Zn In Te
4 4 4 12
Direct
0.247 0.250 0.044
0.253 0.750 0.544
0.747 0.250 0.456
0.753 0.750 0.956
0.132 0.250 0.358
0.368 0.750 0.858
0.632 0.250 0.142
0.868 0.750 0.642
0.075 0.250 0.784
0.425 0.750 0.284
0.575 0.250 0.716
0.925 0.750 0.216
0.002 0.250 0.588
0.125 0.750 0.947
0.193 0.250 0.211
0.307 0.750 0.711
0.375 0.250 0.447
0.498 0.750 0.088
0.502 0.250 0.912
0.625 0.750 0.553
0.693 0.250 0.289
0.807 0.750 0.789
0.875 0.250 0.053
0.998 0.750 0.412
```

***

It comes down to B, which is 0.068 eV/atom more stable than the next structure.